# 1
Entry from Alexandria via LeMat-Bulk: a relaxed structure of Ac2Pt2Au (PBE-GGA).

```
data_Ac2Pt2Au
_chemical_formula_sum 'Ac4 Pt4 Au2'
_space_group_name_H-M_alt 'P 4/m b m'
_space_group_IT_number 127
_space_group_name_Hall '-P 4 2ab'
_cell_length_a 8.109
_cell_length_b 8.109
_cell_length_c 4.016
_cell_angle_alpha 90.00
_cell_angle_beta 90.00
_cell_angle_gamma 90.00
loop_
_atom_site_label
_atom_site_fract_x
_atom_site_fract_y
_atom_site_fract_z
Ac1 0.175 0.325 0.000
Pt1 0.127 0.627 0.500
Au1 0.000 0.000 0.500
```

Calculated values
Energy relative to the elements: -1.020 eV per atom
Magnetic moment: 0.0 μB per formula unit

=====

# 2
Entry from Alexandria via LeMat-Bulk: a relaxed structure of Ac2Pt3Au (PBE-GGA).

```
data_Ac2Pt3Au
_chemical_formula_sum 'Ac4 Pt6 Au2'
_space_group_name_H-M_alt 'I m m 2'
_space_group_IT_number 44
_cell_length_a 4.170
_cell_length_b 4.243
_cell_length_c 17.406
_cell_angle_alpha 90.00
_cell_angle_beta 90.00
_cell_angle_gamma 90.00
loop_
_space_group_symop_operation_xyz
'x,y,z'
'-x,-y,z'
'-x,y,z'
'x,-y,z'
'x+1/2,y+1/2,z+1/2'
'-x+1/2,-y+1/2,z+1/2'
'-x+1/2,y+1/2,z+1/2'
'x+1/2,-y+1/2,z+1/2'
loop_
_atom_site_label
_atom_site_fract_x
_atom_site_fract_y
_atom_site_fract_z
Ac1 0.000 0.000 0.000
Ac2 0.000 0.500 0.238
Pt1 0.000 0.000 0.567
Pt2 0.000 0.500 0.658
Pt3 0.000 0.500 0.809
Au1 0.000 0.000 0.410
```

Calculated values
Energy relative to the elements: -0.966 eV per atom
Magnetic moment: 0.0 μB per formula unit

=====

# 3
Entry from Alexandria via LeMat-Bulk: a relaxed structure of AcPt2Au4 (PBE-GGA).

```
data_AcPt2Au4
_chemical_formula_sum 'Ac2 Pt4 Au8'
_space_group_name_H-M_alt 'I 4/m m m'
_space_group_IT_number 139
_space_group_name_Hall '-I 4 2'
_cell_length_a 8.395
_cell_length_b 8.395
_cell_length_c 5.401
_cell_angle_alpha 90.00
_cell_angle_beta 90.00
_cell_angle_gamma 90.00
loop_
_atom_site_label
_atom_site_fract_x
_atom_site_fract_y
_atom_site_fract_z
Ac1 0.000 0.000 0.000
Pt1 0.000 0.500 0.250
Au1 0.000 0.228 0.500
```

Calculated values
Energy relative to the elements: -0.016 eV per atom
Magnetic moment: 0.0 μB per formula unit

=====

# 4
Entry from Alexandria via LeMat-Bulk: a relaxed structure of Ac8Pt4Au3 (PBE-GGA).

```
data_Ac8Pt4Au3
_chemical_formula_sum 'Ac16 Pt8 Au6'
_space_group_name_H-M_alt 'C 1 2/m 1'
_space_group_IT_number 12
_cell_length_a 12.599
_cell_length_b 12.640
_cell_length_c 8.915
_cell_angle_alpha 90.00
_cell_angle_beta 134.72
_cell_angle_gamma 90.00
loop_
_space_group_symop_operation_xyz
'x,y,z'
'-x,-y,-z'
'-x,y,-z'
'x,-y,z'
'x+1/2,y+1/2,z'
'-x+1/2,-y+1/2,-z'
'-x+1/2,y+1/2,-z'
'x+1/2,-y+1/2,z'
loop_
_atom_site_label
_atom_site_fract_x
_atom_site_fract_y
_atom_site_fract_z
Ac1 0.000 0.242 0.000
Ac2 0.000 0.244 0.500
Ac3 0.233 0.000 0.479
Ac4 0.238 0.000 0.990
Pt1 0.000 0.000 0.000
Pt2 0.000 0.000 0.500
Pt3 0.250 0.250 0.000
Au1 0.000 0.500 0.500
Au2 0.250 0.250 0.500
```

Calculated values
Energy relative to the elements: -0.955 eV per atom
Magnetic moment: 0.0 μB per formula unit

=====

# 5
Entry from Alexandria via LeMat-Bulk: a relaxed structure of Ac7Pt2Au2 (PBE-GGA).

```
data_Ac7Pt2Au2
_chemical_formula_sum 'Ac14 Pt4 Au4'
_space_group_name_H-M_alt 'I m m 2'
_space_group_IT_number 44
_cell_length_a 4.200
_cell_length_b 17.280
_cell_length_c 10.462
_cell_angle_alpha 90.00
_cell_angle_beta 90.00
_cell_angle_gamma 90.00
loop_
_space_group_symop_operation_xyz
'x,y,z'
'-x,-y,z'
'-x,y,z'
'x,-y,z'
'x+1/2,y+1/2,z+1/2'
'-x+1/2,-y+1/2,z+1/2'
'-x+1/2,y+1/2,z+1/2'
'x+1/2,-y+1/2,z+1/2'
loop_
_atom_site_label
_atom_site_fract_x
_atom_site_fract_y
_atom_site_fract_z
Ac1 0.000 0.000 0.000
Ac2 0.000 0.107 0.638
Ac3 0.000 0.307 0.429
Ac4 0.000 0.385 0.788
Pt1 0.000 0.000 0.384
Pt2 0.000 0.500 0.286
Au1 0.000 0.238 0.142
```

Calculated values
Energy relative to the elements: -0.727 eV per atom
Magnetic moment: 0.0 μB per formula unit

=====

# 6
Entry from Alexandria via LeMat-Bulk: a relaxed structure of Ac5Pt2RhAu (PBE-GGA).

```
data_Ac5Pt2RhAu
_chemical_formula_sum 'Ac20 Pt8 Rh4 Au4'
_space_group_name_H-M_alt 'C m c 21'
_space_group_IT_number 36
_cell_length_a 4.482
_cell_length_b 18.057
_cell_length_c 14.766
_cell_angle_alpha 90.00
_cell_angle_beta 90.00
_cell_angle_gamma 90.00
loop_
_space_group_symop_operation_xyz
'x,y,z'
'-x,-y,z+1/2'
'-x,y,z'
'x,-y,z+1/2'
'x+1/2,y+1/2,z'
'-x+1/2,-y+1/2,z+1/2'
'-x+1/2,y+1/2,z'
'x+1/2,-y+1/2,z+1/2'
loop_
_atom_site_label
_atom_site_fract_x
_atom_site_fract_y
_atom_site_fract_z
Ac1 0.000 0.056 0.000
Ac2 0.000 0.071 0.727
Ac3 0.000 0.277 0.389
Ac4 0.000 0.315 0.672
Ac5 0.000 0.377 0.996
Pt1 0.000 0.309 0.190
Pt2 0.000 0.488 0.622
Rh1 0.000 0.216 0.027
Au1 0.000 0.093 0.346
```

Calculated values
Energy relative to the elements: -0.794 eV per atom
Magnetic moment: 0.0 μB per formula unit

=====

# 7
Entry from Alexandria via LeMat-Bulk: a relaxed structure of Ac6Pt3Rh2Au (PBE-GGA).

```
data_Ac6Pt3Rh2Au
_chemical_formula_sum 'Ac12 Pt6 Rh4 Au2'
_space_group_name_H-M_alt 'C 1 2/m 1'
_space_group_IT_number 12
_cell_length_a 19.058
_cell_length_b 4.383
_cell_length_c 8.794
_cell_angle_alpha 90.00
_cell_angle_beta 102.96
_cell_angle_gamma 90.00
loop_
_space_group_symop_operation_xyz
'x,y,z'
'-x,-y,-z'
'-x,y,-z'
'x,-y,z'
'x+1/2,y+1/2,z'
'-x+1/2,-y+1/2,-z'
'-x+1/2,y+1/2,-z'
'x+1/2,-y+1/2,z'
loop_
_atom_site_label
_atom_site_fract_x
_atom_site_fract_y
_atom_site_fract_z
Ac1 0.004 0.000 0.264
Ac2 0.169 0.500 0.581
Ac3 0.173 0.500 0.094
Pt1 0.000 0.500 0.500
Pt2 0.162 0.000 0.835
Rh1 0.165 0.000 0.331
Au1 0.000 0.500 0.000
```

Calculated values
Energy relative to the elements: -0.927 eV per atom
Magnetic moment: 0.0 μB per formula unit

=====

# 8
Entry from Alexandria via LeMat-Bulk: a relaxed structure of Ac3PtRhAu (PBE-GGA).

```
data_Ac3PtRhAu
_chemical_formula_sum 'Ac6 Pt2 Rh2 Au2'
_space_group_name_H-M_alt 'P 1 21/m 1'
_space_group_IT_number 11
_cell_length_a 8.086
_cell_length_b 4.288
_cell_length_c 11.230
_cell_angle_alpha 90.00
_cell_angle_beta 107.64
_cell_angle_gamma 90.00
loop_
_space_group_symop_operation_xyz
'x,y,z'
'-x,-y,-z'
'-x,y+1/2,-z'
'x,-y+1/2,z'
loop_
_atom_site_label
_atom_site_fract_x
_atom_site_fract_y
_atom_site_fract_z
Ac1 0.167 0.250 0.137
Ac2 0.269 0.250 0.515
Ac3 0.328 0.750 0.865
Pt1 0.499 0.250 0.341
Rh1 0.421 0.750 0.158
Au1 0.010 0.250 0.708
```

Calculated values
Energy relative to the elements: -0.748 eV per atom
Magnetic moment: 0.0 μB per formula unit

=====

# 9
Entry from Alexandria via LeMat-Bulk: a relaxed structure of Ac2PtRhAu (PBE-GGA).

```
data_Ac2PtRhAu
_chemical_formula_sum 'Ac4 Pt2 Rh2 Au2'
_space_group_name_H-M_alt 'P 1 21/m 1'
_space_group_IT_number 11
_cell_length_a 7.910
_cell_length_b 4.599
_cell_length_c 8.479
_cell_angle_alpha 90.00
_cell_angle_beta 117.75
_cell_angle_gamma 90.00
loop_
_space_group_symop_operation_xyz
'x,y,z'
'-x,-y,-z'
'-x,y+1/2,-z'
'x,-y+1/2,z'
loop_
_atom_site_label
_atom_site_fract_x
_atom_site_fract_y
_atom_site_fract_z
Ac1 0.215 0.250 0.374
Ac2 0.279 0.250 0.948
Pt1 0.125 0.750 0.091
Rh1 0.498 0.250 0.742
Au1 0.270 0.750 0.672
```

Calculated values
Energy relative to the elements: -0.764 eV per atom
Magnetic moment: 0.0 μB per formula unit

=====

# 10
Entry from Alexandria via LeMat-Bulk: a relaxed structure of Ac6Pt2RhAu (PBE-GGA).

```
data_Ac6Pt2RhAu
_chemical_formula_sum 'Ac18 Pt6 Rh3 Au3'
_space_group_name_H-M_alt 'R 3'
_space_group_IT_number 146
_space_group_name_Hall 'R 3'
_cell_length_a 7.6796
_cell_length_b 7.6796
_cell_length_c 21.2958
_cell_angle_alpha 90.00
_cell_angle_beta 90.00
_cell_angle_gamma 120.00
loop_
_atom_site_label
_atom_site_fract_x
_atom_site_fract_y
_atom_site_fract_z
Ac1 0.0060 0.3380 0.0000
Ac2 0.0117 0.6982 0.8391
Pt1 0.0000 0.0000 0.2485
Pt2 0.0000 0.0000 0.7453
Rh1 0.0000 0.0000 0.9278
Au1 0.0000 0.0000 0.4280
```

Calculated values
Energy relative to the elements: -0.783 eV per atom
Magnetic moment: 0.0 μB per formula unit